1.
The following is a DFT calculation (PBE) of La4PmSm10 after structural relaxation.

The structure belongs to space group I4/m (No. 87); the cell edges are 9.929, 9.929 and 10.753 Å and the angles 90.00°, 90.00° and 90.00°. Symmetry generates all atoms from La at (0.058, 0.329, 0.000), Pm at (0.000, 0.000, 0.000), Sm at (0.000, 0.500, 0.250) and Sm at (0.116, 0.206, 0.340).

The value obtained for the total magnetic moment is 0.00 μB/cell. The formation energy comes out at 304 meV per atom.

2.
The following is a DFT calculation (PBE) of Ca6InIr2 after structural relaxation.

The structure belongs to space group Immm (No. 71); the cell edges are 9.667, 9.685 and 11.038 Å and the angles 90.00°, 90.00° and 90.00°. Symmetry generates all atoms from Ca at (0.000, 0.172, 0.157), Ca at (0.182, 0.207, 0.500), Ca at (0.206, 0.500, 0.251), In at (0.000, 0.500, 0.000), In at (0.000, 0.500, 0.500), Ir at (0.000, 0.000, 0.377) and Ir at (0.211, 0.000, 0.000).

The value obtained for the total magnetic moment is 0.00 μB/cell. The formation energy comes out at -350 meV per atom.

3.
The following is a DFT calculation (PBE) of AcZrGa4 after structural relaxation.

The structure belongs to space group F-43m (No. 216); the cell edges are 7.954, 7.954 and 7.954 Å and the angles 90.00°, 90.00° and 90.00°. Symmetry generates all atoms from Ac at (0.000, 0.000, 0.000), Zr at (0.250, 0.250, 0.250) and Ga at (0.124, 0.124, 0.624).

The value obtained for the total magnetic moment is 0.00 μB/cell. The formation energy comes out at -332 meV per atom.

4.
The following is a DFT calculation (PBE) of CoTe2PI after structural relaxation.

The structure belongs to space group P4/mmm (No. 123); the cell edges are 5.321, 5.321 and 5.250 Å and the angles 90.00°, 90.00° and 90.00°. Symmetry generates all atoms from Co at (0.000, 0.000, 0.000), Te at (0.000, 0.500, 0.500), P at (0.500, 0.500, 0.500) and I at (0.500, 0.500, 0.000).

Its uncorrected formation energy is 1.005 eV per atom. The value obtained for the total magnetic moment is 2.84 μB/cell. Its offset from the most stable computed form is 0.270 eV per atom.

5.
The following is a DFT calculation (PBE) of BeCd2I6 after structural relaxation.

The structure belongs to space group C2/c (No. 15); the cell edges are 15.605, 15.642 and 7.567 Å and the angles 90.00°, 116.66° and 90.00°. Symmetry generates all atoms from Be at (0.000, 0.222, 0.250), Cd at (0.231, 0.417, 0.438), I at (0.089, 0.134, 0.540), I at (0.098, 0.306, 0.142) and I at (0.204, 0.414, 0.781).

Its uncorrected formation energy is -0.571 eV per atom. The value obtained for the total magnetic moment is 0.00 μB/cell.

6.
The following is a DFT calculation (PBE) of BaLaTlIn after structural relaxation.

The structure belongs to space group F-43m (No. 216); the cell edges are 8.248, 8.248 and 8.248 Å and the angles 90.00°, 90.00° and 90.00°. Symmetry generates all atoms from Ba at (0.000, 0.000, 0.000), La at (0.000, 0.000, 0.500), Tl at (0.250, 0.250, 0.250) and In at (0.250, 0.250, 0.750).

The value obtained for the total magnetic moment is 0.00 μB/cell. The formation energy comes out at -350 meV per atom.

7.
The following is a DFT calculation (PBE) of Ac2MgInPd after structural relaxation.

The structure belongs to space group P2_1/m (No. 11); the cell edges are 8.141, 4.808 and 8.245 Å and the angles 90.00°, 110.27° and 90.00°. Symmetry generates all atoms from Ac at (0.105, 0.250, 0.338), Ac at (0.293, 0.250, 0.961), Mg at (0.440, 0.750, 0.338), In at (0.331, 0.750, 0.659) and Pd at (0.106, 0.750, 0.084).

The value obtained for the total magnetic moment is 0.00 μB/cell. The formation energy comes out at -537 meV per atom.

8.
The following is a DFT calculation (PBE) of Na2Te2H after structural relaxation.

The structure belongs to space group Cmc2_1 (No. 36); the cell edges are 3.648, 24.615 and 6.098 Å and the angles 90.00°, 90.00° and 90.00°. Symmetry generates all atoms from Na at (0.000, 0.061, 0.000), Na at (0.000, 0.209, 0.605), Te at (0.000, 0.183, 0.105), Te at (0.000, 0.452, 0.066) and H at (0.000, 0.404, 0.864).

The value obtained for the total magnetic moment is 0.00 μB/cell.

no.,N(E_F) (states/eV/atom),VASP energy (eV per atom)
1,1.389,-4.473
2,0.773,-3.958
3,0.790,-4.459
4,1.459,-3.065
5,0.000,-2.222
6,1.345,-3.339
7,0.702,-4.086
8,0.219,-2.853